Model 1:
NaAg2Sn2: single point on PBEsol structure, SCAN.

abc: 8.543 8.543 3.076
angles: 90.00 90.00 90.00
Atoms (fractional coordinates):
Na (0.000, 0.000, 0.000)
Na (0.500, 0.500, 0.000)
Ag (0.149, 0.351, 0.500)
Ag (0.351, 0.851, 0.500)
Ag (0.649, 0.149, 0.500)
Ag (0.851, 0.649, 0.500)
Sn (0.147, 0.647, 0.000)
Sn (0.353, 0.147, 0.000)
Sn (0.647, 0.853, 0.000)
Sn (0.853, 0.353, 0.000)

Output
The crystal system is tetragonal. The mass density comes out at 7.04 g/cm3.

---

Model 2:
NaAg2Sn2: single point on PBEsol structure, SCAN.

abc: 6.865 6.865 6.865
angles: 142.59 142.59 53.94
Atoms (fractional coordinates):
Na (0.000, 0.000, 0.000)
Ag (0.250, 0.750, 0.500)
Ag (0.750, 0.250, 0.500)
Sn (0.385, 0.385, 0.000)
Sn (0.615, 0.615, 0.000)

Output
The crystal system is tetragonal. The mass density comes out at 6.67 g/cm3.

---

Top of the stability list: model 2, leading by 43 meV/atom.

---

Model 1:
Na2TaAg: single point on PBEsol structure, SCAN.

abc: 6.332 6.332 6.332
angles: 100.67 100.67 129.03
Atoms (fractional coordinates):
Na (0.093, 0.625, 0.968)
Na (0.375, 0.343, 0.468)
Na (0.657, 0.125, 0.032)
Na (0.875, 0.907, 0.532)
Ta (0.250, 0.750, 0.500)
Ta (0.500, 0.500, 0.000)
Ag (0.000, 0.000, 0.000)
Ag (0.750, 0.250, 0.500)

Output
The crystal system is tetragonal. The mass density comes out at 6.25 g/cm3.

---

Model 2:
Na2TaAg: single point on PBEsol structure, SCAN.

abc: 4.975 4.975 4.975
angles: 60.00 60.00 60.00
Atoms (fractional coordinates):
Na (0.250, 0.250, 0.250)
Na (0.750, 0.750, 0.750)
Ta (0.000, 0.000, 0.000)
Ag (0.500, 0.500, 0.500)

Output
The crystal system is cubic. The mass density comes out at 6.39 g/cm3.

---

Top of the stability list: model 1, leading by 42 meV/atom.

---

Model 1:
NaZn2Ag2: single point on PBEsol structure, SCAN.

abc: 6.850 6.850 6.850
angles: 147.15 147.15 47.14
Atoms (fractional coordinates):
Na (0.000, 0.000, 0.000)
Zn (0.250, 0.750, 0.500)
Zn (0.750, 0.250, 0.500)
Ag (0.392, 0.392, 0.000)
Ag (0.608, 0.608, 0.000)

Output
The crystal system is tetragonal. The mass density comes out at 6.52 g/cm3.

---

Model 2:
NaZn2Ag2: single point on PBEsol structure, SCAN.

abc: 7.835 7.835 2.796
angles: 90.00 90.00 90.00
Atoms (fractional coordinates):
Na (0.000, 0.000, 0.000)
Na (0.500, 0.500, 0.000)
Zn (0.165, 0.335, 0.500)
Zn (0.335, 0.835, 0.500)
Zn (0.665, 0.165, 0.500)
Zn (0.835, 0.665, 0.500)
Ag (0.133, 0.633, 0.000)
Ag (0.367, 0.133, 0.000)
Ag (0.633, 0.867, 0.000)
Ag (0.867, 0.367, 0.000)

Output
The crystal system is tetragonal. The mass density comes out at 7.15 g/cm3.

---

Top of the stability list: model 2, leading by 95 meV/atom.